Below is a relaxed Ta2FeSi2 crystal, with properties calculated at the PBE level.

Lattice parameters (Å, degrees): 5.929 5.929 4.086 90.00 90.00 90.00
Fractional positions:
Ta  0.163  0.337  0.000
Ta  0.337  0.837  0.000
Ta  0.663  0.163  0.000
Ta  0.837  0.663  0.000
Fe  0.000  0.000  0.500
Fe  0.500  0.500  0.500
Si  0.142  0.642  0.500
Si  0.358  0.142  0.500
Si  0.642  0.858  0.500
Si  0.858  0.358  0.500

Results
The calculation puts the magnetic moment at 0.0 μB/cell. The value obtained for the uncorrected formation energy is -0.4865 eV per atom.